A relaxed LiCoP4O12 crystal. Source: Alexandria, functional PBE+U.

- polymorph energy (0 for the lowest one) (eV/f.u.) = 0.04
- space group = No. 15
- magnetic moment (μB per formula unit) = 4.023

Lattice parameters (Å, degrees): 7.2983 7.2983 9.8096 112.45 112.45 69.90
Closest atoms and distances in Å follow each position.
Atoms (fractional coordinates):
Li: 0.0430 0.9570 0.7500  2 O 1.94
Li: 0.9570 0.0430 0.2500  2 O 1.94
Co: 0.0000 0.5000 0.5000  6 O 1.97-2.05
Co: 0.5000 0.0000 0.0000  6 O 1.97-2.05
P: 0.2593 0.7333 0.0277  4 O 1.46-1.64
P: 0.2667 0.7407 0.4723  4 O 1.46-1.64
P: 0.3018 0.3189 0.8035  4 O 1.50-1.60
P: 0.3189 0.3018 0.3035  4 O 1.50-1.60
P: 0.6811 0.6982 0.6965  4 O 1.50-1.60
P: 0.6982 0.6811 0.1965  4 O 1.50-1.60
P: 0.7333 0.2593 0.5277  4 O 1.46-1.64
P: 0.7407 0.2667 0.9723  4 O 1.46-1.64
O: 0.0922 0.8547 0.0958  1 P 1.46
O: 0.1287 0.2974 0.3297  1 P 1.52
O: 0.1453 0.9078 0.4042  1 P 1.46
O: 0.1888 0.3445 0.6454  1 P 1.50
O: 0.1902 0.6849 0.5731  1 P 1.53
O: 0.2143 0.5100 0.9296  2 P 1.60-1.62
O: 0.2974 0.1287 0.8297  1 P 1.52
O: 0.3151 0.8098 0.9269  1 P 1.53
O: 0.3262 0.5322 0.3390  2 P 1.60-1.64
O: 0.3445 0.1888 0.1454  1 P 1.50
O: 0.4678 0.6738 0.1610  2 P 1.60-1.64
O: 0.4900 0.7857 0.5704  2 P 1.60-1.62
O: 0.5100 0.2143 0.4296  2 P 1.60-1.62
O: 0.5322 0.3262 0.8390  2 P 1.60-1.64
O: 0.6555 0.8112 0.8546  1 P 1.50
O: 0.6738 0.4678 0.6610  2 P 1.60-1.64
O: 0.6849 0.1902 0.0731  1 P 1.53
O: 0.7026 0.8713 0.1703  1 P 1.52
O: 0.7857 0.4900 0.0704  2 P 1.60-1.62
O: 0.8098 0.3151 0.4269  1 P 1.53
O: 0.8112 0.6555 0.3546  1 P 1.50
O: 0.8547 0.0922 0.5958  1 P 1.46
O: 0.8713 0.7026 0.6703  1 P 1.52
O: 0.9078 0.1453 0.9042  1 P 1.46